Crystalline NaSr4Pd at its relaxed geometry. Source: the Alexandria database, functional PBE-GGA.

Lattice parameters (Å, degrees): 6.249 8.276 11.222 90.00 106.17 90.00
Positions (direct):
Pd (0.597, 0.768, 0.194)
Pd (0.403, 0.268, 0.806)
Sr (0.291, 0.061, 0.582)
Sr (0.326, 0.562, 0.652)
Sr (0.481, 0.969, 0.962)
Sr (0.709, 0.561, 0.418)
Sr (0.674, 0.062, 0.348)
Sr (0.519, 0.469, 0.038)
Sr (0.101, 0.779, 0.202)
Sr (0.899, 0.279, 0.798)
Na (0.118, 0.295, 0.236)
Na (0.882, 0.795, 0.764)

Magnetization = 0.000 μB/cell
Space-group type = No. 36
E_tot = -0.1765 Ry/atom

=====

Crystalline NaSr7Pd2 at its relaxed geometry. Source: the Alexandria database, functional PBE-GGA.

Lattice parameters (Å, degrees): 5.928 9.375 9.375 114.97 90.00 90.00
Positions (direct):
Na (0.000, 0.000, 0.000)
Pd (0.500, 0.301, 0.699)
Pd (0.500, 0.699, 0.301)
Sr (0.500, 0.949, 0.670)
Sr (0.500, 0.330, 0.051)
Sr (0.000, 0.297, 0.703)
Sr (0.500, 0.670, 0.949)
Sr (0.500, 0.500, 0.500)
Sr (0.500, 0.051, 0.330)
Sr (0.000, 0.703, 0.297)

Magnetization = 0.000 μB/cell
Space-group type = No. 65
E_tot = -0.1885 Ry/atom

=====

Crystalline Na2Sr4Pd at its relaxed geometry. Source: the Alexandria database, functional PBE-GGA.

Lattice parameters (Å, degrees): 5.913 5.913 10.380 73.45 73.45 90.00
Positions (direct):
Na (0.364, 0.364, 0.272)
Na (0.636, 0.636, 0.728)
Pd (0.000, 0.000, 0.000)
Sr (0.837, 0.837, 0.326)
Sr (0.163, 0.163, 0.674)
Sr (0.500, 0.000, 0.000)
Sr (0.000, 0.500, 0.000)

Magnetization = 0.000 μB/cell
Space-group type = No. 139
E_tot = -0.1628 Ry/atom

=====

Crystalline Na2Sr4Pd at its relaxed geometry. Source: the Alexandria database, functional PBE-GGA.

Lattice parameters (Å, degrees): 4.481 7.148 10.152 101.56 102.75 90.00
Positions (direct):
Sr (0.880, 0.201, 0.761)
Sr (0.565, 0.266, 0.129)
Sr (0.120, 0.799, 0.239)
Sr (0.435, 0.734, 0.871)
Pd (0.000, 0.000, 0.000)
Na (0.769, 0.689, 0.537)
Na (0.231, 0.311, 0.463)

Magnetization = 0.000 μB/cell
Space-group type = No. 12
E_tot = -0.1659 Ry/atom

=====

Crystalline NaSr2Pd2 at its relaxed geometry. Source: the Alexandria database, functional PBE-GGA.

Lattice parameters (Å, degrees): 5.987 6.279 8.632 103.34 90.00 118.47
Positions (direct):
Na (0.861, 0.000, 0.250)
Na (0.139, 0.000, 0.750)
Pd (0.291, 0.282, 0.504)
Pd (0.992, 0.282, 0.004)
Pd (0.709, 0.718, 0.496)
Pd (0.008, 0.718, 0.996)
Sr (0.802, 0.297, 0.650)
Sr (0.198, 0.703, 0.350)
Sr (0.505, 0.703, 0.850)
Sr (0.495, 0.297, 0.150)

Magnetization = 0.000 μB/cell
Space-group type = No. 15
E_tot = -0.2525 Ry/atom

=====

Crystalline Na5Sr4Pd2 at its relaxed geometry. Source: the Alexandria database, functional PBE-GGA.

Lattice parameters (Å, degrees): 4.176 9.231 10.756 94.10 90.00 90.00
Positions (direct):
Na (0.000, 0.452, 0.667)
Na (0.000, 0.178, 0.147)
Na (0.000, 0.822, 0.853)
Na (0.000, 0.500, 0.000)
Na (0.000, 0.548, 0.333)
Sr (0.500, 0.808, 0.554)
Sr (0.500, 0.192, 0.446)
Sr (0.500, 0.841, 0.175)
Sr (0.500, 0.159, 0.825)
Pd (0.000, 0.059, 0.628)
Pd (0.000, 0.941, 0.372)

Magnetization = 0.000 μB/cell
Space-group type = No. 10
E_tot = -0.1742 Ry/atom